# 1
A plane-wave DFT calculation with PBE-GGA was carried out for a relaxed structure of LaErO2.

## Properties
Its total energy is -7.70 eV/atom. The value obtained for the density of states at the Fermi level is 1.4 states/eV per cell. The value obtained for the polymorph energy (0 for the lowest one) is 0.00 eV per formula unit. Its total moment is 0.000 μB/atom. Its formation energy without anion corrections is -2.8480 eV per atom.

Lattice parameters (Å, degrees): 7.058 7.058 7.058 29.60 29.60 29.60
Fractional positions:
La 0.000 0.000 0.000
Er 0.500 0.500 0.500
O 0.116 0.116 0.116
O 0.884 0.884 0.884

=====

# 2
A plane-wave DFT calculation with PBE-GGA was carried out for a relaxed structure of LaMgSb2I.

## Properties
Its total energy is -3.15 eV/atom. The value obtained for the density of states at the Fermi level is 7.1 states/eV per cell. The value obtained for the polymorph energy (0 for the lowest one) is 2.01 eV per formula unit. Its total moment is 0.001 μB/atom. Its formation energy without anion corrections is 0.1148 eV per atom.

Lattice parameters (Å, degrees): 6.154 6.154 6.115 90.00 90.00 90.00
Fractional positions:
La 0.000 0.000 0.000
Mg 0.500 0.500 0.500
Sb 0.000 0.500 0.000
Sb 0.500 0.000 0.000
I 0.000 0.000 0.500

=====

# 3
A plane-wave DFT calculation with PBE-GGA was carried out for a relaxed structure of PrPdAu.

## Properties
The formation energy comes out at -0.7281 eV/atom. Its total energy is -5.14 eV/atom. The value obtained for the density of states at the Fermi level is 1.1 states/eV per cell. The value obtained for the polymorph energy (0 for the lowest one) is 0.12 eV per formula unit. Its total moment is 0.000 μB/atom.

Lattice parameters (Å, degrees): 5.344 5.344 5.344 138.07 138.07 60.79
Fractional positions:
Pr 0.000 0.000 0.000
Pd 0.664 0.664 0.000
Au 0.331 0.331 0.000

=====

# 4
A plane-wave DFT calculation with PBE-GGA was carried out for a relaxed structure of Rb2EuCd.

## Properties
The formation energy comes out at 0.2251 eV/atom. Its total energy is -3.06 eV/atom. The value obtained for the density of states at the Fermi level is 3.6 states/eV per cell. Its total moment is 1.866 μB/atom.

Lattice parameters (Å, degrees): 14.407 14.407 14.407 16.92 16.92 16.92
Fractional positions:
Rb 0.098 0.098 0.098
Rb 0.902 0.902 0.902
Eu 0.000 0.000 0.000
Cd 0.500 0.500 0.500